A plane-wave DFT calculation with meta-GGA SCAN was carried out for a PBEsol-optimized structure of Li9CrN5.

Unit cell a=5.813 b=6.719 c=7.506 alpha=77.35 beta=74.60 gamma=73.61
Positions (direct):
Li  0.047  0.479  0.143
Li  0.048  0.925  0.143
Li  0.108  0.369  0.432
Li  0.128  0.855  0.437
Li  0.257  0.259  0.706
Li  0.329  0.162  0.032
Li  0.356  0.640  0.071
Li  0.413  0.056  0.356
Li  0.415  0.554  0.367
Li  0.585  0.446  0.633
Li  0.587  0.944  0.644
Li  0.644  0.360  0.929
Li  0.671  0.838  0.968
Li  0.743  0.741  0.294
Li  0.872  0.145  0.563
Li  0.892  0.631  0.568
Li  0.952  0.075  0.857
Li  0.953  0.521  0.857
Cr  0.254  0.752  0.753
Cr  0.746  0.248  0.247
N  0.050  0.165  0.279
N  0.090  0.655  0.303
N  0.300  0.493  0.873
N  0.313  0.921  0.878
N  0.458  0.759  0.535
N  0.542  0.241  0.465
N  0.687  0.079  0.122
N  0.700  0.507  0.127
N  0.910  0.345  0.697
N  0.950  0.835  0.721

Output
The symmetry is No. 2. The total energy comes out at -195.3 eV for the cell shown. The calculation puts the formation energy from raw total energies at -73 kJ/mol of atoms.

A plane-wave DFT calculation with meta-GGA SCAN was carried out for a PBEsol-optimized structure of LiCrN2.

Unit cell a=4.537 b=4.537 c=8.341 alpha=90.00 beta=90.00 gamma=90.00
Positions (direct):
Li  0.000  0.000  0.000
Li  0.000  0.500  0.250
Li  0.500  0.000  0.750
Li  0.500  0.500  0.500
Cr  0.000  0.000  0.500
Cr  0.000  0.500  0.750
Cr  0.500  0.000  0.250
Cr  0.500  0.500  0.000
N  0.190  0.250  0.625
N  0.250  0.690  0.875
N  0.250  0.810  0.375
N  0.310  0.250  0.125
N  0.690  0.750  0.125
N  0.750  0.190  0.375
N  0.750  0.310  0.875
N  0.810  0.750  0.625

Output
The symmetry is No. 122. The total energy comes out at -168.3 eV for the cell shown. The calculation puts the formation energy from raw total energies at -65 kJ/mol of atoms.

A plane-wave DFT calculation with meta-GGA SCAN was carried out for a PBEsol-optimized structure of LiCrS2N.

Unit cell a=4.588 b=4.588 c=3.502 alpha=90.00 beta=90.00 gamma=90.00
Positions (direct):
Li  0.000  0.000  0.000
Cr  0.500  0.500  0.500
S  0.000  0.500  0.500
S  0.500  0.000  0.500
N  0.500  0.500  0.000

Output
The symmetry is No. 123. The total energy comes out at -50.6 eV for the cell shown. The calculation puts the formation energy from raw total energies at -25 kJ/mol of atoms.

A plane-wave DFT calculation with meta-GGA SCAN was carried out for a PBEsol-optimized structure of SrLi2CrN3.

Unit cell a=7.280 b=10.425 c=9.045 alpha=90.00 beta=90.00 gamma=90.00
Positions (direct):
Sr  0.084  0.084  0.192
Sr  0.084  0.416  0.692
Sr  0.416  0.584  0.192
Sr  0.416  0.916  0.692
Sr  0.584  0.084  0.308
Sr  0.584  0.416  0.808
Sr  0.916  0.584  0.308
Sr  0.916  0.916  0.808
Li  0.094  0.720  0.615
Li  0.094  0.780  0.115
Li  0.209  0.683  0.877
Li  0.209  0.817  0.377
Li  0.291  0.183  0.877
Li  0.291  0.317  0.377
Li  0.406  0.220  0.615
Li  0.406  0.280  0.115
Li  0.594  0.720  0.885
Li  0.594  0.780  0.385
Li  0.709  0.683  0.623
Li  0.709  0.817  0.123
Li  0.791  0.183  0.623
Li  0.791  0.317  0.123
Li  0.906  0.220  0.885
Li  0.906  0.280  0.385
Cr  0.105  0.082  0.547
Cr  0.105  0.418  0.047
Cr  0.395  0.582  0.547
Cr  0.395  0.918  0.047
Cr  0.605  0.082  0.953
Cr  0.605  0.418  0.453
Cr  0.895  0.582  0.953
Cr  0.895  0.918  0.453
N  0.073  0.156  0.717
N  0.073  0.344  0.217
N  0.103  0.596  0.067
N  0.103  0.904  0.567
N  0.209  0.627  0.448
N  0.209  0.873  0.948
N  0.291  0.127  0.448
N  0.291  0.373  0.948
N  0.397  0.096  0.067
N  0.397  0.404  0.567
N  0.427  0.656  0.717
N  0.427  0.844  0.217
N  0.573  0.156  0.783
N  0.573  0.344  0.283
N  0.603  0.596  0.433
N  0.603  0.904  0.933
N  0.709  0.627  0.052
N  0.709  0.873  0.552
N  0.791  0.127  0.052
N  0.791  0.373  0.552
N  0.897  0.096  0.433
N  0.897  0.404  0.933
N  0.927  0.656  0.783
N  0.927  0.844  0.283

Output
The symmetry is No. 61. The total energy comes out at -642.1 eV for the cell shown. The calculation puts the formation energy from raw total energies at -96 kJ/mol of atoms.

A plane-wave DFT calculation with meta-GGA SCAN was carried out for a PBEsol-optimized structure of Na3LiCr.

Unit cell a=5.416 b=5.416 c=5.416 alpha=90.00 beta=90.00 gamma=90.00
Positions (direct):
Na  0.000  0.000  0.500
Na  0.000  0.500  0.000
Na  0.500  0.000  0.000
Li  0.000  0.000  0.000
Cr  0.500  0.500  0.500

Output
The symmetry is No. 221. The total energy comes out at -30.2 eV for the cell shown.

A plane-wave DFT calculation with meta-GGA SCAN was carried out for a PBEsol-optimized structure of NaLiCr3.

Unit cell a=5.089 b=5.089 c=5.089 alpha=90.00 beta=90.00 gamma=90.00
Positions (direct):
Na  0.000  0.000  0.000
Li  0.500  0.500  0.500
Cr  0.000  0.000  0.500
Cr  0.000  0.500  0.000
Cr  0.500  0.000  0.000

Output
The symmetry is No. 221. The total energy comes out at -54.5 eV for the cell shown.

A plane-wave DFT calculation with meta-GGA SCAN was carried out for a PBEsol-optimized structure of Li4Nb3Cr3Ni2O16.

Unit cell a=5.887 b=5.887 c=9.511 alpha=90.69 beta=90.69 gamma=60.17
Positions (direct):
Li  0.000  0.000  0.000
Li  0.315  0.315  0.472
Li  0.535  0.535  0.560
Li  0.657  0.657  0.105
Nb  0.001  0.500  0.805
Nb  0.500  0.001  0.805
Nb  0.834  0.834  0.325
Cr  0.326  0.832  0.316
Cr  0.492  0.492  0.823
Cr  0.832  0.326  0.316
Ni  0.000  0.000  0.585
Ni  0.333  0.333  0.096
O  0.139  0.139  0.433
O  0.164  0.689  0.445
O  0.181  0.627  0.942
O  0.182  0.182  0.935
O  0.338  0.338  0.689
O  0.343  0.817  0.704
O  0.502  0.988  0.209
O  0.503  0.503  0.213
O  0.627  0.181  0.942
O  0.660  0.660  0.919
O  0.661  0.661  0.423
O  0.689  0.164  0.445
O  0.817  0.343  0.704
O  0.842  0.842  0.704
O  0.988  0.502  0.209
O  0.997  0.997  0.205

Output
The symmetry is No. 8. The total energy comes out at -361.5 eV for the cell shown. The calculation puts the formation energy from raw total energies at -225 kJ/mol of atoms.

A plane-wave DFT calculation with meta-GGA SCAN was carried out for a PBEsol-optimized structure of Li2NbCr3O8.

Unit cell a=5.857 b=5.857 c=9.452 alpha=90.00 beta=90.00 gamma=120.00
Positions (direct):
Li  0.000  0.000  0.000
Li  0.000  0.000  0.500
Li  0.333  0.667  0.095
Li  0.667  0.333  0.595
Nb  0.333  0.667  0.502
Nb  0.667  0.333  0.002
Cr  0.169  0.339  0.779
Cr  0.169  0.831  0.779
Cr  0.339  0.169  0.279
Cr  0.661  0.831  0.779
Cr  0.831  0.169  0.279
Cr  0.831  0.661  0.279
O  0.000  0.000  0.186
O  0.000  0.000  0.686
O  0.037  0.519  0.656
O  0.165  0.331  0.398
O  0.165  0.835  0.398
O  0.331  0.165  0.898
O  0.333  0.667  0.886
O  0.481  0.519  0.656
O  0.481  0.963  0.656
O  0.519  0.037  0.156
O  0.519  0.481  0.156
O  0.667  0.333  0.386
O  0.669  0.835  0.398
O  0.835  0.165  0.898
O  0.835  0.669  0.898
O  0.963  0.481  0.156

Output
The polymorph energy (0 for the lowest one) comes out at 0 meV per atom. The symmetry is No. 186. The total energy comes out at -358.7 eV for the cell shown. The calculation puts the formation energy from raw total energies at -251 kJ/mol of atoms.

A plane-wave DFT calculation with meta-GGA SCAN was carried out for a PBEsol-optimized structure of Li2NbCr3O8.

Unit cell a=5.894 b=5.894 c=5.894 alpha=60.12 beta=60.12 gamma=60.12
Positions (direct):
Li  0.127  0.127  0.127
Li  0.873  0.873  0.873
Nb  0.500  0.500  0.500
Cr  0.000  0.500  0.500
Cr  0.500  0.000  0.500
Cr  0.500  0.500  0.000
O  0.259  0.259  0.719
O  0.259  0.719  0.259
O  0.265  0.265  0.265
O  0.281  0.741  0.741
O  0.719  0.259  0.259
O  0.735  0.735  0.735
O  0.741  0.281  0.741
O  0.741  0.741  0.281

Output
The polymorph energy (0 for the lowest one) comes out at 33 meV per atom. The symmetry is No. 166. The total energy comes out at -178.9 eV for the cell shown. The calculation puts the formation energy from raw total energies at -248 kJ/mol of atoms.

A plane-wave DFT calculation with meta-GGA SCAN was carried out for a PBEsol-optimized structure of Li4NbCr5O12.

Unit cell a=5.000 b=5.000 c=9.987 alpha=94.74 beta=94.74 gamma=119.86
Positions (direct):
Li  0.080  0.744  0.734
Li  0.256  0.920  0.266
Li  0.744  0.080  0.734
Li  0.920  0.256  0.266
Nb  0.500  0.500  0.000
Cr  0.000  0.000  0.500
Cr  0.167  0.833  0.000
Cr  0.337  0.663  0.500
Cr  0.663  0.337  0.500
Cr  0.833  0.167  0.000
O  0.025  0.368  0.604
O  0.116  0.116  0.887
O  0.189  0.537  0.113
O  0.289  0.289  0.393
O  0.368  0.025  0.604
O  0.463  0.811  0.887
O  0.537  0.189  0.113
O  0.632  0.975  0.396
O  0.711  0.711  0.607
O  0.811  0.463  0.887
O  0.884  0.884  0.113
O  0.975  0.632  0.396

Output
The symmetry is No. 12. The total energy comes out at -263.2 eV for the cell shown. The calculation puts the formation energy from raw total energies at -236 kJ/mol of atoms.

A plane-wave DFT calculation with meta-GGA SCAN was carried out for a PBEsol-optimized structure of LiNbCrO4.

Unit cell a=5.951 b=5.951 c=5.951 alpha=120.46 beta=119.26 gamma=90.24
Positions (direct):
Li  0.378  0.128  0.250
Li  0.622  0.872  0.750
Nb  0.000  0.000  0.500
Nb  0.000  0.500  0.000
Cr  0.000  0.500  0.500
Cr  0.500  0.500  0.000
O  0.230  0.737  0.493
O  0.242  0.270  0.528
O  0.242  0.714  0.972
O  0.256  0.263  0.993
O  0.744  0.737  0.007
O  0.758  0.286  0.028
O  0.758  0.730  0.472
O  0.770  0.263  0.507

Output
The symmetry is No. 74. The total energy comes out at -192.7 eV for the cell shown. The calculation puts the formation energy from raw total energies at -242 kJ/mol of atoms.

A plane-wave DFT calculation with meta-GGA SCAN was carried out for a PBEsol-optimized structure of Li4NbCrTe2O12.

Unit cell a=5.083 b=5.379 c=7.403 alpha=94.36 beta=90.04 gamma=90.00
Positions (direct):
Li  0.000  0.000  0.000
Li  0.002  0.021  0.463
Li  0.499  0.547  0.991
Li  0.504  0.660  0.404
Nb  0.502  0.105  0.699
Cr  0.003  0.591  0.193
Te  0.002  0.596  0.692
Te  0.505  0.106  0.196
O  0.128  0.618  0.937
O  0.177  0.285  0.624
O  0.198  0.915  0.251
O  0.308  0.789  0.623
O  0.326  0.420  0.246
O  0.370  0.110  0.946
O  0.630  0.098  0.443
O  0.682  0.427  0.758
O  0.695  0.801  0.129
O  0.807  0.291  0.121
O  0.824  0.917  0.752
O  0.877  0.621  0.447

Output
The symmetry is No. 1. The total energy comes out at -250.2 eV for the cell shown. The calculation puts the formation energy from raw total energies at -192 kJ/mol of atoms.

| no. | mass density (g/cm³) |
| --- | --- |
| 1 | 2.288 |
| 2 | 3.364 |
| 3 | 3.089 |
| 4 | 3.784 |
| 5 | 1.337 |
| 6 | 2.342 |
| 7 | 4.855 |
| 8 | 4.621 |
| 9 | 4.470 |
| 10 | 4.453 |
| 11 | 4.802 |
| 12 | 5.100 |